(1)
The following is a PBE calculation of Hf3NiP after structural relaxation, from OQMD via LeMat-Bulk.

Cell: 3.497 11.353 9.347 Å, 90.00 90.00 90.00°
Space group Cmcm (No. 63)
One atom of each set of equivalent atoms:
Hf 0.000 0.079 0.250 [4 per cell]
Hf 0.000 0.351 0.077 [8 per cell]
Ni 0.000 0.251 0.750 [4 per cell]
P 0.000 0.000 0.000 [4 per cell]

***

(2)
The following is a PBE calculation of Hf2Ni3P3 after structural relaxation, from OQMD via LeMat-Bulk.

Cell: 12.274 3.598 9.965 Å, 90.00 90.00 90.00°
Space group Pnma (No. 62)
One atom of each set of equivalent atoms:
Hf 0.005 0.250 0.164 [4 per cell]
Hf 0.209 0.750 0.573 [4 per cell]
Ni 0.016 0.250 0.596 [4 per cell]
Ni 0.166 0.750 0.273 [4 per cell]
Ni 0.216 0.750 0.864 [4 per cell]
P 0.103 0.250 0.397 [4 per cell]
P 0.127 0.750 0.053 [4 per cell]
P 0.144 0.250 0.761 [4 per cell]

***

(3)
The following is a PBE calculation of Hf3Ni2P4Pd2 after structural relaxation, from OQMD via LeMat-Bulk.

Cell: 6.406 3.743 7.194 Å, 90.00 90.98 90.00°
Space group Pm (No. 6)
One atom of each set of equivalent atoms:
Hf 0.000 0.000 0.000 [1 per cell]
Hf 0.062 0.500 0.623 [1 per cell]
Hf 0.556 0.500 0.475 [1 per cell]
Ni 0.164 0.500 0.253 [1 per cell]
Ni 0.901 0.000 0.368 [1 per cell]
P 0.270 0.000 0.411 [1 per cell]
P 0.279 0.500 0.952 [1 per cell]
P 0.776 0.000 0.670 [1 per cell]
P 0.793 0.500 0.201 [1 per cell]
Pd 0.376 0.000 0.751 [1 per cell]
Pd 0.673 0.500 0.882 [1 per cell]

***

(4)
The following is a PBE calculation of Hf2ZrNi2P4Pd2 after structural relaxation, from OQMD via LeMat-Bulk.

Cell: 6.414 3.758 7.207 Å, 90.00 91.03 90.00°
Space group Pm (No. 6)
One atom of each set of equivalent atoms:
Hf 0.000 0.000 0.000 [1 per cell]
Hf 0.447 0.500 0.525 [1 per cell]
Zr 0.505 0.000 0.149 [1 per cell]
Ni 0.345 0.500 0.891 [1 per cell]
Ni 0.611 0.000 0.777 [1 per cell]
P 0.217 0.500 0.195 [1 per cell]
P 0.240 0.000 0.727 [1 per cell]
P 0.714 0.500 0.937 [1 per cell]
P 0.728 0.000 0.479 [1 per cell]
Pd 0.120 0.000 0.409 [1 per cell]
Pd 0.825 0.500 0.278 [1 per cell]

***

Total magnetic moment values, unit μB per cell, following the record order: 0.0 0.0 0.0 0.0.
Total DFT energy (no corrections) values, unit eV/atom, following the record order: -8.8563 -7.6083 -7.5998 -7.4810.